# 1
Material: Cu2SF
Method: DFT, PBE
State: relaxed

POSCAR file:
```
Cu2SF
1.0
-1.540 2.534 2.732
-4.243 -0.275 -2.138
1.288 -9.016 9.091
Cu S F
8 4 4
Cartesian
-3.191 -8.107 7.210 Cu
-1.305 1.350 2.475 Cu
0.109 -4.425 5.654 Cu
-4.605 -2.332 4.030 Cu
-2.943 -0.945 0.705 Cu
-1.552 -5.812 8.980 Cu
-1.426 -2.571 3.069 Cu
-3.069 -4.186 6.616 Cu
-0.906 -3.904 7.575 S
-3.590 -2.852 2.110 S
-3.716 -6.093 8.021 S
-0.780 -0.663 1.663 S
-2.310 -1.687 4.726 F
-2.185 -5.070 4.959 F
-3.599 0.706 1.779 F
-0.896 -7.462 7.905 F
```

Calculated values
Size of the total moment ... 0.00 μB per cell
DFT total energy ... -67.18 eV for the cell shown

---

# 2
Material: Cu2SF
Method: DFT, PBE
State: relaxed

POSCAR file:
```
Cu2SF
1.0
3.677 0.000 0.000
1.838 3.184 0.000
1.838 1.061 5.729
S Cu F
1 2 1
Cartesian
3.677 2.123 2.864 S
1.838 1.061 3.804 Cu
5.515 3.184 1.924 Cu
0.000 0.000 0.000 F
```

Calculated values
Size of the total moment ... 0.00 μB per cell
DFT total energy ... -16.67 eV for the cell shown

---

# 3
Material: CuS2F
Method: DFT, PBE
State: relaxed

POSCAR file:
```
CuS2F
1.0
2.741 -2.496 1.914
-1.109 -3.873 1.085
1.607 -3.274 -2.025
S Cu F
2 1 1
Cartesian
0.810 -2.411 0.243 S
2.429 -7.232 0.730 S
1.619 -4.821 0.487 Cu
0.000 0.000 0.000 F
```

Calculated values
Size of the total moment ... 0.00 μB per cell
DFT total energy ... -13.48 eV for the cell shown

---

# 4
Material: Sc2CuSF
Method: DFT, PBE
State: relaxed

POSCAR file:
```
Sc2CuSF
1.0
-2.633 0.054 -4.137
0.213 -3.961 -0.187
-4.129 -0.346 2.623
Sc S Cu F
2 1 1 1
Cartesian
-2.065 -0.173 1.311 Sc
-1.316 0.027 -2.069 Sc
-3.274 -2.127 -0.851 S
0.000 0.000 0.000 Cu
0.107 -1.980 -0.093 F
```

Calculated values
Size of the total moment ... 0.00 μB per cell
DFT total energy ... -25.45 eV for the cell shown

---

What did we get for density? Answer: 5.15; 4.41; 4.74; 3.56 Mg/m³, in the order shown.
What did we get for formation energy without anion corrections? Answer: -0.651; -0.620; 0.187; -0.539 eV/atom, in the order shown.